No. 1
VASP calculation (PBE-GGA) on a relaxed structure of Ta2NbCo.

abc: 3.7570 3.7570 19.8782
angles: 90.00 90.00 90.00
Space group I-42d (No. 122)
One atom of each set of equivalent atoms:
Ta 0.2504 0.2500 0.1250 [8 per cell]
Nb 0.0000 0.0000 0.0000 [4 per cell]
Co 0.0000 0.0000 0.5000 [4 per cell]

Results
- Crystal system: tetragonal
- Calculated density: 12.2 Mg/m³
- V: 281 Å³/cell
- Calculated formation energy: 0.623 eV/atom


No. 2
VASP calculation (PBE-GGA) on a relaxed structure of TaNb2Co.

abc: 3.2333 3.2333 6.2711
angles: 90.00 90.00 90.00
Space group P4/mmm (No. 123)
One atom of each set of equivalent atoms:
Ta 0.0000 0.0000 0.0000 [1 per cell]
Nb 0.5000 0.5000 0.2639 [2 per cell]
Co 0.0000 0.0000 0.5000 [1 per cell]

Results
- Crystal system: tetragonal
- Energy relative to the lowest polymorph listed for this composition: 7 meV/atom
- Calculated density: 10.8 Mg/m³
- V: 66 Å³/cell
- Calculated formation energy: -0.016 eV/atom


No. 3
VASP calculation (PBE-GGA) on a relaxed structure of TaNbCo.

abc: 4.9958 8.6011 8.7421
angles: 90.00 90.00 90.00
Space group Fmmm (No. 69)
One atom of each set of equivalent atoms:
Ta 0.0000 0.0000 0.1612 [8 per cell]
Nb 0.0000 0.1599 0.5000 [8 per cell]
Co 0.2500 0.2500 0.2500 [8 per cell]

Results
- Crystal system: orthorhombic
- Energy relative to the lowest polymorph listed for this composition: 0 meV/atom
- Calculated density: 11.8 Mg/m³
- V: 376 Å³/cell
- Calculated formation energy: -0.215 eV/atom


No. 4
VASP calculation (PBE-GGA) on a relaxed structure of TaNbCo5.

abc: 3.5566 3.5566 7.4403
angles: 90.00 90.00 90.00
Space group P4/mmm (No. 123)
One atom of each set of equivalent atoms:
Ta 0.0000 0.0000 0.0000 [1 per cell]
Nb 0.5000 0.5000 0.5000 [1 per cell]
Co 0.0000 0.5000 0.2535 [4 per cell]
Co 0.5000 0.5000 0.0000 [1 per cell]

Results
- Crystal system: tetragonal
- Calculated density: 10.0 Mg/m³
- V: 94 Å³/cell
- Calculated formation energy: 0.109 eV/atom


No. 5
VASP calculation (PBE-GGA) on a relaxed structure of TaNbCo2.

abc: 6.1671 6.1671 6.1671
angles: 90.00 90.00 90.00
Space group Fm-3m (No. 225)
One atom of each set of equivalent atoms:
Ta 0.0000 0.0000 0.0000 [4 per cell]
Nb 0.0000 0.0000 0.5000 [4 per cell]
Co 0.2500 0.2500 0.2500 [8 per cell]

Results
- Crystal system: cubic
- Energy relative to the lowest polymorph listed for this composition: 136 meV/atom
- Calculated density: 11.1 Mg/m³
- V: 235 Å³/cell
- Calculated formation energy: -0.063 eV/atom


No. 6
VASP calculation (PBE-GGA) on a relaxed structure of TaNbCo2.

abc: 6.6953 6.6953 5.3965
angles: 90.00 90.00 90.00
Space group I-42d (No. 122)
One atom of each set of equivalent atoms:
Ta 0.0000 0.0000 0.0000 [4 per cell]
Nb 0.0000 0.0000 0.5000 [4 per cell]
Co 0.2485 0.2500 0.1250 [8 per cell]

Results
- Crystal system: tetragonal
- Energy relative to the lowest polymorph listed for this composition: 530 meV/atom
- Calculated density: 10.8 Mg/m³
- V: 242 Å³/cell
- Calculated formation energy: 0.331 eV/atom